No. 1
# MgCrGeRh

A geometry-optimized MgCrGeRh structure (GGA-PBE, Alexandria via LeMat-Bulk).

## Properties
The value obtained for the formation energy is -0.2301 eV per atom. The calculation puts the calculated volume at 14.714 Å³/atom. The value obtained for the total energy is -0.4430 Ry/atom. The total magnetization comes out at 12.95 μB per cell.

Cell: 6.1748 6.1748 6.1748 Å, 90.00 90.00 90.00°
Space group F-43m (No. 216)
Symmetry-distinct sites (fractional):
Mg 0.0000 0.0000 0.0000 x4
Cr 0.2500 0.2500 0.2500 x4
Ge 0.0000 0.0000 0.5000 x4
Rh 0.2500 0.2500 0.7500 x4

No. 2
# MgCrGeRu

A geometry-optimized MgCrGeRu structure (GGA-PBE, Alexandria via LeMat-Bulk).

## Properties
The value obtained for the formation energy is -0.0539 eV per atom. The calculation puts the calculated volume at 14.506 Å³/atom. The value obtained for the total energy is -0.4654 Ry/atom. The total magnetization comes out at 12.38 μB per cell.

Cell: 6.1455 6.1455 6.1455 Å, 90.00 90.00 90.00°
Space group F-43m (No. 216)
Symmetry-distinct sites (fractional):
Mg 0.0000 0.0000 0.0000 x4
Cr 0.2500 0.2500 0.7500 x4
Ge 0.0000 0.0000 0.5000 x4
Ru 0.2500 0.2500 0.2500 x4

No. 3
# MgCrGe2Ru

A geometry-optimized MgCrGe2Ru structure (GGA-PBE, Alexandria via LeMat-Bulk).

## Properties
The value obtained for the formation energy is 0.9484 eV per atom. The calculation puts the calculated volume at 19.789 Å³/atom. The value obtained for the total energy is -0.3673 Ry/atom. The total magnetization comes out at 3.16 μB per cell.

Cell: 4.5345 4.5345 4.8120 Å, 90.00 90.00 90.00°
Space group P4/mmm (No. 123)
Symmetry-distinct sites (fractional):
Mg 0.0000 0.0000 0.0000 x1
Cr 0.0000 0.0000 0.5000 x1
Ge 0.0000 0.5000 0.5000 x2
Ru 0.5000 0.5000 0.0000 x1